(1)
Here is a relaxed structure of HgN from Alexandria via LeMat-Bulk. Energies are from PBE-GGA.

Cell and atoms, written as extended XYZ:
```
6
Lattice="-1.645 4.749 3.495 1.645 -4.749 3.495 1.645 4.749 -3.495" Properties=species:S:1:pos:R:3 pbc="T T T"
Hg 0.000 0.000 0.000
Hg 1.645 3.211 -0.484
Hg 0.000 1.538 3.011
N 0.000 2.056 0.338
N 1.645 0.000 2.388
N 0.000 7.442 0.338
```

- DOS(E_F) (states/eV per cell) = 3.133
- theoretical density (g cm⁻³) = 9.790
- VASP energy (eV/atom) = -2.788
- total magnetization (μB/cell) = 0.00
- space group = Imm2 (44)


(2)
Here is a relaxed structure of Ti4Ni3Rh2 from Alexandria via LeMat-Bulk. Energies are from PBE-GGA.

Cell and atoms, written as extended XYZ:
```
9
Lattice="4.050 -1.952 0.000 4.050 1.952 0.000 -1.701 0.000 7.929" Properties=species:S:1:pos:R:3 pbc="T T T"
Ti -0.309 0.000 2.720
Ti 2.556 0.000 0.923
Ti 3.842 0.000 7.006
Ti 6.707 0.000 5.209
Ni 0.000 0.000 0.000
Ni 2.015 0.000 3.542
Ni 4.383 0.000 4.387
Rh 1.246 0.000 6.195
Rh 5.152 0.000 1.734
```

- DOS(E_F) (states/eV per cell) = 9.348
- theoretical density (g cm⁻³) = 7.595
- VASP energy (eV/atom) = -7.578
- energy relative to the elements (kcal/mol of atoms) = -11.73
- total magnetization (μB/cell) = 0.00
- space group = C2/m (12)


(3)
Here is a relaxed structure of NaSr8 from Alexandria via LeMat-Bulk. Energies are from PBE-GGA.

Cell and atoms, written as extended XYZ:
```
9
Lattice="-7.114 7.114 2.333 7.114 -7.114 2.333 7.114 7.114 -2.333" Properties=species:S:1:pos:R:3 pbc="T T T"
Na 0.000 0.000 0.000
Sr 4.782 0.000 0.000
Sr 9.446 0.000 0.000
Sr 0.000 4.782 0.000
Sr 4.814 4.814 0.000
Sr 2.300 -2.300 2.333
Sr -2.300 2.300 2.333
Sr 2.300 2.300 2.333
Sr 0.000 9.446 0.000
```

- DOS(E_F) (states/eV per cell) = 8.572
- theoretical density (g cm⁻³) = 2.545
- VASP energy (eV/atom) = -1.630
- energy relative to the elements (kcal/mol of atoms) = 0.27
- total magnetization (μB/cell) = 0.00
- space group = I4/mmm (139)


(4)
Here is a relaxed structure of GaNi2Rh2 from Alexandria via LeMat-Bulk. Energies are from PBE-GGA.

Cell and atoms, written as extended XYZ:
```
10
Lattice="6.105 0.000 0.000 0.000 6.105 0.000 0.000 0.000 3.644" Properties=species:S:1:pos:R:3 pbc="T T T"
Ga 0.000 0.000 0.000
Ga 3.053 3.053 0.000
Ni 0.818 2.235 0.000
Ni 2.235 5.287 0.000
Ni 3.871 0.818 0.000
Ni 5.287 3.871 0.000
Rh 0.984 4.036 1.822
Rh 2.069 0.984 1.822
Rh 4.036 5.122 1.822
Rh 5.122 2.069 1.822
```

- DOS(E_F) (states/eV per cell) = 14.062
- theoretical density (g cm⁻³) = 9.607
- VASP energy (eV/atom) = -5.849
- energy relative to the elements (kcal/mol of atoms) = 0.23
- total magnetization (μB/cell) = 3.88
- space group = P4/mbm (127)


(5)
Here is a relaxed structure of Se2OF from Alexandria via LeMat-Bulk. Energies are from PBE-GGA.

Cell and atoms, written as extended XYZ:
```
8
Lattice="-2.143 2.143 7.100 2.143 -2.143 7.100 2.143 2.143 -7.100" Properties=species:S:1:pos:R:3 pbc="T T T"
Se 3.215 0.647 -1.775
Se 0.647 1.072 1.775
Se -1.072 1.497 5.325
Se 1.497 1.072 8.875
O 0.000 0.000 0.000
O 0.000 2.143 3.550
F 2.143 0.000 3.550
F 0.000 0.000 7.100
```

- DOS(E_F) (states/eV per cell) = 2.529
- theoretical density (g cm⁻³) = 4.910
- VASP energy (eV/atom) = -3.718
- total magnetization (μB/cell) = 0.00
- space group = I-42d (122)


(6)
Here is a relaxed structure of BaTa2W from Alexandria via LeMat-Bulk. Energies are from PBE-GGA.

Cell and atoms, written as extended XYZ:
```
4
Lattice="1.600 0.924 10.268 -1.600 0.924 10.268 0.000 -1.848 10.268" Properties=species:S:1:pos:R:3 pbc="T T T"
Ba 0.000 0.000 0.000
Ta 0.000 0.000 7.118
Ta 0.000 0.000 23.687
W 0.000 0.000 15.403
```

- DOS(E_F) (states/eV per cell) = 4.675
- theoretical density (g cm⁻³) = 12.449
- VASP energy (eV/atom) = -8.795
- energy relative to the elements (kcal/mol of atoms) = 19.60
- total magnetization (μB/cell) = 0.00
- space group = R-3m (166)


(7)
Here is a relaxed structure of PbAuBr2 from Alexandria via LeMat-Bulk. Energies are from PBE-GGA.

Cell and atoms, written as extended XYZ:
```
4
Lattice="0.000 3.750 3.750 3.750 0.000 3.750 3.750 3.750 0.000" Properties=species:S:1:pos:R:3 pbc="T T T"
Pb 0.000 0.000 0.000
Au 1.875 1.875 1.875
Br 3.750 3.750 3.750
Br 5.625 5.625 5.625
```

- DOS(E_F) (states/eV per cell) = 5.335
- theoretical density (g cm⁻³) = 8.881
- VASP energy (eV/atom) = -2.592
- total magnetization (μB/cell) = 0.00
- space group = F-43m (216)


(8)
Here is a relaxed structure of Tm3CdRh from Alexandria via LeMat-Bulk. Energies are from PBE-GGA.

Cell and atoms, written as extended XYZ:
```
10
Lattice="5.458 0.000 0.000 -2.535 5.561 0.000 -1.455 -2.626 8.161" Properties=species:S:1:pos:R:3 pbc="T T T"
Tm -0.610 0.317 2.268
Tm -0.611 0.486 5.953
Tm -0.540 4.183 0.853
Tm 2.008 -1.248 7.308
Tm 2.078 2.449 2.208
Tm 2.077 2.618 5.893
Cd -0.740 2.902 4.009
Cd 2.208 0.033 4.152
Rh -0.725 -1.250 8.146
Rh 2.193 4.185 0.015
```

- DOS(E_F) (states/eV per cell) = 7.273
- theoretical density (g cm⁻³) = 9.683
- VASP energy (eV/atom) = -4.862
- energy relative to the elements (kcal/mol of atoms) = -12.12
- total magnetization (μB/cell) = 0.00
- space group = P-1 (2)